Record 1
Density functional theory data (PBE-GGA) for crystalline La2PrErBi4 at its relaxed geometry.

The density of states at the Fermi level comes out at 1.0 states/eV/cell. The formation energy is -963.9 meV per atom.

```
data_La2PrErBi4
_cell_length_a 8.004
_cell_length_b 4.635
_cell_length_c 8.017
_cell_angle_alpha 90.00
_cell_angle_beta 109.53
_cell_angle_gamma 90.00
_space_group_name_H-M_alt 'P 1 2/m 1'
_space_group_IT_number 10
_space_group_name_Hall '-P 2y'
loop_
_atom_site_label
_atom_site_fract_x
_atom_site_fract_y
_atom_site_fract_z
La1 0.000 0.000 0.000
La2 0.000 0.500 0.500
Pr1 0.500 0.000 0.500
Er1 0.500 0.500 0.000
Bi1 0.256 0.500 0.246
Bi2 0.261 0.000 0.759
```

Record 2
Density functional theory data (PBE-GGA) for crystalline FePdPt4 at its relaxed geometry.

The density of states at the Fermi level comes out at 6.6 states/eV/cell. The formation energy is -24.6 meV per atom. As for the energy above the most stable polymorph in this dataset: 117 meV/atom.

```
data_FePdPt4
_cell_length_a 2.743
_cell_length_b 4.579
_cell_length_c 7.526
_cell_angle_alpha 90.00
_cell_angle_beta 90.00
_cell_angle_gamma 90.00
_space_group_name_H-M_alt 'P m m m'
_space_group_IT_number 47
_space_group_name_Hall '-P 2 2'
loop_
_atom_site_label
_atom_site_fract_x
_atom_site_fract_y
_atom_site_fract_z
Fe1 0.000 0.000 0.000
Pd1 0.500 0.500 0.500
Pt1 0.000 0.500 0.180
Pt2 0.500 0.000 0.300
```

Record 3
Density functional theory data (PBE-GGA) for crystalline LuThMnCd at its relaxed geometry.

The density of states at the Fermi level comes out at 21.0 states/eV/cell. The formation energy is 65.7 meV per atom.

```
data_LuThMnCd
_cell_length_a 7.318
_cell_length_b 7.318
_cell_length_c 7.318
_cell_angle_alpha 90.00
_cell_angle_beta 90.00
_cell_angle_gamma 90.00
_space_group_name_H-M_alt 'F -4 3 m'
_space_group_IT_number 216
_space_group_name_Hall 'F -4 2 3'
loop_
_atom_site_label
_atom_site_fract_x
_atom_site_fract_y
_atom_site_fract_z
Lu1 0.000 0.000 0.000
Th1 0.000 0.000 0.500
Mn1 0.250 0.250 0.750
Cd1 0.250 0.250 0.250
```

- What is the density of states at the Fermi level in the first record?
  1.0 states/eV/cell

- Which of these has the lowest density of states at the Fermi level?
  La2PrErBi4

- Among the records above, which one has the highest density of states at the Fermi level?
  LuThMnCd